#P
Material: NaSiS
Method: DFT, PBE
State: optimized geometry

a b c (Å): 3.652 3.652 5.561
angles (deg): 90.00 90.00 90.00
Space group P4mm (No. 99)
Inequivalent atoms, fractional coordinates:
1 Na 0.000 0.000 0.000 x1
2 Si 0.500 0.500 0.430 x1
3 S 0.500 0.500 0.799 x1

***

#Q
Material: NaSiS
Method: DFT, PBE
State: optimized geometry

a b c (Å): 3.3933 3.3933 17.6034
angles (deg): 90.00 90.00 120.00
Space group R3m (No. 160, hexagonal axes)
Inequivalent atoms, fractional coordinates:
1 Na 0.0000 0.0000 0.0000 x3
2 Si 0.0000 0.0000 0.7989 x3
3 S 0.0000 0.0000 0.2118 x3

***

#R
Material: NaSiS
Method: DFT, PBE
State: optimized geometry

a b c (Å): 3.400 4.426 4.596
angles (deg): 76.94 89.92 89.92
Space group P1 (No. 1)
Inequivalent atoms, fractional coordinates:
1 Na 0.000 0.000 0.000 x1
2 Si 0.504 0.617 0.607 x1
3 S 0.004 0.401 0.409 x1

***

Relative to the most stable structure, the computed energies are #P 0; #Q 19; #R 10, all in meV per atom.

***

#P
Material: NaSiS
Method: DFT, PBE
State: optimized geometry

a b c (Å): 3.337 3.772 5.455
angles (deg): 90.00 90.00 90.00
Space group Pmm2 (No. 25)
Inequivalent atoms, fractional coordinates:
1 Na 0.000 0.000 0.000 x1
2 Si 0.500 0.500 0.345 x1
3 S 0.000 0.500 0.613 x1

***

#Q
Material: NaSiS
Method: DFT, PBE
State: optimized geometry

a b c (Å): 3.276 3.555 5.660
angles (deg): 90.00 106.24 90.00
Space group Pm (No. 6)
Inequivalent atoms, fractional coordinates:
1 Na 0.000 0.000 0.000 x1
2 Si 0.295 0.500 0.597 x1
3 S 0.660 0.500 0.317 x1

***

Relative to the most stable structure, the computed energies are #P 22; #Q 0, all in meV per atom.

***

#P
Material: Na2SiS
Method: DFT, PBE
State: optimized geometry

a b c (Å): 8.096 8.096 5.379
angles (deg): 90.00 90.00 90.00
Space group I-42d (No. 122)
Inequivalent atoms, fractional coordinates:
1 Na 0.201 0.250 0.125 x8
2 Si 0.000 0.000 0.500 x4
3 S 0.000 0.000 0.000 x4

***

#Q
Material: Na2SiS
Method: DFT, PBE
State: optimized geometry

a b c (Å): 6.943 6.943 6.943
angles (deg): 90.00 90.00 90.00
Space group Fm-3m (No. 225)
Inequivalent atoms, fractional coordinates:
1 Na 0.250 0.250 0.250 x8
2 Si 0.000 0.000 0.000 x4
3 S 0.000 0.000 0.500 x4

***

Relative to the most stable structure, the computed energies are #P 0; #Q 124, all in meV per atom.

***

#P
Material: NaSiS3
Method: DFT, PBE
State: optimized geometry

a b c (Å): 4.603 4.603 4.603
angles (deg): 90.00 90.00 90.00
Space group Pm-3m (No. 221)
Inequivalent atoms, fractional coordinates:
1 Na 0.000 0.000 0.000 x1
2 Si 0.500 0.500 0.500 x1
3 S 0.000 0.500 0.500 x3

***

#Q
Material: NaSiS3
Method: DFT, PBE
State: optimized geometry

a b c (Å): 3.222 21.411 7.511
angles (deg): 90.00 90.00 90.00
Space group Cmcm (No. 63)
Inequivalent atoms, fractional coordinates:
1 Na 0.000 0.103 0.250 x4
2 Si 0.000 0.399 0.250 x4
3 S 0.000 0.034 0.750 x4
4 S 0.000 0.342 0.021 x8

***

#R
Material: NaSiS3
Method: DFT, PBE
State: optimized geometry

a b c (Å): 4.879 4.879 4.879
angles (deg): 90.00 90.00 90.00
Space group Pm-3m (No. 221)
Inequivalent atoms, fractional coordinates:
1 Na 0.000 0.000 0.000 x1
2 Si 0.500 0.500 0.500 x1
3 S 0.000 0.000 0.500 x3

***

Relative to the most stable structure, the computed energies are #P 391; #Q 0; #R 1680, all in meV per atom.

***

#P
Material: Na3SnS
Method: DFT, PBE
State: optimized geometry

a b c (Å): 5.292 5.292 5.292
angles (deg): 90.00 90.00 90.00
Space group Pm-3m (No. 221)
Inequivalent atoms, fractional coordinates:
1 Na 0.000 0.000 0.500 x3
2 Sn 0.500 0.500 0.500 x1
3 S 0.000 0.000 0.000 x1

***

#Q
Material: Na3SnS
Method: DFT, PBE
State: optimized geometry

a b c (Å): 5.835 5.835 5.835
angles (deg): 90.00 90.00 90.00
Space group Pm-3m (No. 221)
Inequivalent atoms, fractional coordinates:
1 Na 0.000 0.000 0.500 x3
2 Sn 0.000 0.000 0.000 x1
3 S 0.500 0.500 0.500 x1

***

Relative to the most stable structure, the computed energies are #P 0; #Q 641, all in meV per atom.

***

#P
Material: Na4Sn3S8
Method: DFT, PBE
State: optimized geometry

a b c (Å): 11.547 7.300 17.975
angles (deg): 90.00 95.47 90.00
Space group C2/c (No. 15)
Inequivalent atoms, fractional coordinates:
1 Na 0.145 0.120 0.162 x8
2 Na 0.218 0.147 0.370 x8
3 Sn 0.000 0.414 0.750 x4
4 Sn 0.102 0.333 0.968 x8
5 S 0.018 0.347 0.427 x8
6 S 0.027 0.175 0.850 x8
7 S 0.180 0.427 0.252 x8
8 S 0.204 0.027 0.015 x8

***

#Q
Material: Na4Sn3S8
Method: DFT, PBE
State: optimized geometry

a b c (Å): 7.6363 7.6363 21.5575
angles (deg): 90.00 90.00 120.00
Space group R-3m (No. 166, hexagonal axes)
Inequivalent atoms, fractional coordinates:
1 Na 0.0000 0.0000 0.0000 x3
2 Na 0.0000 0.0000 0.1398 x6
3 Na 0.0000 0.0000 0.5000 x3
4 Sn 0.0000 0.5000 0.0000 x9
5 S 0.0000 0.0000 0.2655 x6
6 S 0.0224 0.5112 0.2650 x18

***

Relative to the most stable structure, the computed energies are #P 0; #Q 23, all in meV per atom.

***

#P
Material: NaSr3S
Method: DFT, PBE
State: optimized geometry

a b c (Å): 6.225 6.225 6.225
angles (deg): 90.00 90.00 90.00
Space group Pm-3m (No. 221)
Inequivalent atoms, fractional coordinates:
1 Na 0.000 0.000 0.000 x1
2 Sr 0.000 0.000 0.500 x3
3 S 0.500 0.500 0.500 x1

***

#Q
Material: NaSr3S
Method: DFT, PBE
State: optimized geometry

a b c (Å): 5.968 5.968 5.968
angles (deg): 90.00 90.00 90.00
Space group Pm-3m (No. 221)
Inequivalent atoms, fractional coordinates:
1 Na 0.000 0.000 0.000 x1
2 Sr 0.000 0.500 0.500 x3
3 S 0.500 0.500 0.500 x1

***

Relative to the most stable structure, the computed energies are #P 1041; #Q 0, all in meV per atom.

***

#P
Material: NaTa4S8
Method: DFT, PBE
State: optimized geometry

a b c (Å): 10.201 10.201 10.201
angles (deg): 90.00 90.00 90.00
Space group F-43m (No. 216)
Inequivalent atoms, fractional coordinates:
1 Na 0.000 0.000 0.000 x4
2 Ta 0.110 0.110 0.390 x16
3 S 0.129 0.129 0.629 x16
4 S 0.141 0.141 0.141 x16

***

#Q
Material: NaTa4S8
Method: DFT, PBE
State: optimized geometry

a b c (Å): 11.697 6.755 9.394
angles (deg): 90.00 128.00 90.00
Space group C2/m (No. 12)
Inequivalent atoms, fractional coordinates:
1 Na 0.000 0.000 0.000 x2
2 Ta 0.000 0.254 0.500 x4
3 Ta 0.247 0.500 0.498 x4
4 S 0.019 0.000 0.706 x4
5 S 0.021 0.500 0.711 x4
6 S 0.230 0.250 0.291 x8

***

Relative to the most stable structure, the computed energies are #P 117; #Q 0, all in meV per atom.

***

#P
Material: Na3TaS
Method: DFT, PBE
State: optimized geometry

a b c (Å): 5.308 5.308 5.308
angles (deg): 90.00 90.00 90.00
Space group Pm-3m (No. 221)
Inequivalent atoms, fractional coordinates:
1 Na 0.000 0.000 0.500 x3
2 Ta 0.500 0.500 0.500 x1
3 S 0.000 0.000 0.000 x1

***

#Q
Material: Na3TaS
Method: DFT, PBE
State: optimized geometry

a b c (Å): 5.834 5.834 5.834
angles (deg): 90.00 90.00 90.00
Space group Pm-3m (No. 221)
Inequivalent atoms, fractional coordinates:
1 Na 0.000 0.000 0.500 x3
2 Ta 0.000 0.000 0.000 x1
3 S 0.500 0.500 0.500 x1

***

Relative to the most stable structure, the computed energies are #P 0; #Q 769, all in meV per atom.

***

#P
Material: Na3TcS
Method: DFT, PBE
State: optimized geometry

a b c (Å): 5.615 5.615 5.615
angles (deg): 90.00 90.00 90.00
Space group Pm-3m (No. 221)
Inequivalent atoms, fractional coordinates:
1 Na 0.000 0.000 0.500 x3
2 Tc 0.000 0.000 0.000 x1
3 S 0.500 0.500 0.500 x1

***

#Q
Material: Na3TcS
Method: DFT, PBE
State: optimized geometry

a b c (Å): 5.296 5.296 5.296
angles (deg): 90.00 90.00 90.00
Space group Pm-3m (No. 221)
Inequivalent atoms, fractional coordinates:
1 Na 0.000 0.000 0.500 x3
2 Tc 0.500 0.500 0.500 x1
3 S 0.000 0.000 0.000 x1

***

Relative to the most stable structure, the computed energies are #P 653; #Q 0, all in meV per atom.

***

#P
Material: NaTcS3
Method: DFT, PBE
State: optimized geometry

a b c (Å): 4.695 4.695 4.695
angles (deg): 90.00 90.00 90.00
Space group Pm-3m (No. 221)
Inequivalent atoms, fractional coordinates:
1 Na 0.000 0.000 0.000 x1
2 Tc 0.500 0.500 0.500 x1
3 S 0.000 0.500 0.500 x3

***

#Q
Material: NaTcS3
Method: DFT, PBE
State: optimized geometry

a b c (Å): 4.838 4.838 4.838
angles (deg): 90.00 90.00 90.00
Space group Pm-3m (No. 221)
Inequivalent atoms, fractional coordinates:
1 Na 0.000 0.000 0.000 x1
2 Tc 0.500 0.500 0.500 x1
3 S 0.000 0.000 0.500 x3

***

Relative to the most stable structure, the computed energies are #P 0; #Q 1504, all in meV per atom.

***

#P
Material: NaTc3S
Method: DFT, PBE
State: optimized geometry

a b c (Å): 4.595 4.595 4.595
angles (deg): 90.00 90.00 90.00
Space group Pm-3m (No. 221)
Inequivalent atoms, fractional coordinates:
1 Na 0.000 0.000 0.000 x1
2 Tc 0.000 0.000 0.500 x3
3 S 0.500 0.500 0.500 x1

***

#Q
Material: NaTc3S
Method: DFT, PBE
State: optimized geometry

a b c (Å): 4.418 4.418 4.418
angles (deg): 90.00 90.00 90.00
Space group Pm-3m (No. 221)
Inequivalent atoms, fractional coordinates:
1 Na 0.000 0.000 0.000 x1
2 Tc 0.000 0.500 0.500 x3
3 S 0.500 0.500 0.500 x1

***

Relative to the most stable structure, the computed energies are #P 2145; #Q 0, all in meV per atom.